1.
# PbW2F11

An optimized crystal structure of PbW2F11 (PBE+U, Alexandria).

Lattice parameters (Å, degrees): 7.8148 8.6340 8.6340 72.09 63.09 63.09
With the nearest neighbours (Å) after each atom.
Element x y z (fractional)
F 0.8635 0.7835 0.2165  2 W 2.07-2.17
W 0.3634 0.3221 0.6779  7 F 1.98-2.17
F 0.2232 0.5695 0.1695  1 W 1.98
F 0.9623 0.8305 0.4305  1 W 1.98
F 0.0377 0.1695 0.5695  1 W 1.98
F 0.3635 0.7165 0.2835  2 W 2.07-2.17
F 0.4623 0.9305 0.3305  1 W 1.98
Pb 0.7500 0.7500 0.7500  8 F 2.55-2.56
Pb 0.2500 0.2500 0.2500  8 F 2.55-2.56
F 0.3735 0.8122 0.9516  1 W 1.98
F 0.3627 0.3122 0.4516  1 W 1.98
F 0.2768 0.3305 0.9305  1 W 1.98
W 0.8634 0.1779 0.8221  7 F 1.98-2.17
F 0.6373 0.6878 0.5484  1 W 1.98
F 0.7232 0.6695 0.0695  1 W 1.98
F 0.7768 0.4305 0.8305  1 W 1.98
W 0.1366 0.8221 0.1779  7 F 1.98-2.17
F 0.8627 0.9516 0.8122  1 W 1.98
F 0.1365 0.2165 0.7835  2 W 2.07-2.17
F 0.5000 0.5000 0.5000  2 W 2.10
F 0.5377 0.0695 0.6695  1 W 1.98
F 0.8735 0.4516 0.3122  1 W 1.98
F 0.6365 0.2835 0.7165  2 W 2.07-2.17
F 0.1265 0.5484 0.6878  1 W 1.98
W 0.6366 0.6779 0.3221  7 F 1.98-2.17
F 0.0000 0.0000 0.0000  2 W 2.10
F 0.6265 0.1878 0.0484  1 W 1.98
F 0.1373 0.0484 0.1878  1 W 1.98

2.
# Pb4WF10

An optimized crystal structure of Pb4WF10 (PBE+U, Alexandria).

Lattice parameters (Å, degrees): 6.2189 7.1091 7.1091 78.97 64.06 64.06
With the nearest neighbours (Å) after each atom.
Element x y z (fractional)
F 0.2500 0.5000 0.5000  4 Pb 2.58
W 0.0000 0.0000 0.0000  8 F 2.25
F 0.6138 0.0849 0.2759  1 W 2.25
Pb 0.6004 0.1956 0.6035  8 F 2.55-2.75
F 0.7500 0.5000 0.5000  4 Pb 2.58
F 0.0254 0.0849 0.2759  1 W 2.25
F 0.1103 0.2759 0.9151  1 W 2.25
F 0.3862 0.9151 0.7241  1 W 2.25
F 0.6987 0.2759 0.9151  1 W 2.25
Pb 0.7961 0.6035 0.8044  8 F 2.55-2.75
F 0.3013 0.7241 0.0849  1 W 2.25
F 0.8897 0.7241 0.0849  1 W 2.25
F 0.9746 0.9151 0.7241  1 W 2.25
Pb 0.2039 0.3965 0.1956  8 F 2.55-2.75
Pb 0.3996 0.8044 0.3965  8 F 2.55-2.75

Which calculated density belongs to each record? In order, 5.667; 7.857 g cm⁻³.
Which density of states at the Fermi level belongs to each record? In order, 0.2034; 0.3656 states/eV per atom.
Which VASP energy belongs to each record? In order, -5.312; -4.876 eV/atom.